First-principles (PBE) data for a relaxed Na5Sn3I12 crystal, as listed in Alexandria via LeMat-Bulk.

Lattice parameters (Å, degrees): 16.2470 16.2470 16.2470 109.47 109.47 109.47
Element x y z (fractional)
Na 0.0000 0.0000 0.0000
Na 0.0000 0.0000 0.5000
Na 0.0000 0.5000 0.0000
Na 0.0000 0.5000 0.5000
Na 0.1250 0.7500 0.8750
Na 0.1250 0.8750 0.2500
Na 0.2500 0.1250 0.8750
Na 0.2500 0.6250 0.3750
Na 0.3750 0.2500 0.6250
Na 0.3750 0.6250 0.7500
Na 0.5000 0.0000 0.0000
Na 0.5000 0.0000 0.5000
Na 0.5000 0.5000 0.0000
Na 0.5000 0.5000 0.5000
Na 0.6250 0.3750 0.2500
Na 0.6250 0.7500 0.3750
Na 0.7500 0.3750 0.6250
Na 0.7500 0.8750 0.1250
Na 0.8750 0.1250 0.7500
Na 0.8750 0.2500 0.1250
Sn 0.1250 0.2500 0.3750
Sn 0.1250 0.3750 0.7500
Sn 0.2500 0.3750 0.1250
Sn 0.2500 0.8750 0.6250
Sn 0.3750 0.1250 0.2500
Sn 0.3750 0.7500 0.1250
Sn 0.6250 0.2500 0.8750
Sn 0.6250 0.8750 0.7500
Sn 0.7500 0.1250 0.3750
Sn 0.7500 0.6250 0.8750
Sn 0.8750 0.6250 0.2500
Sn 0.8750 0.7500 0.6250
I 0.0501 0.2258 0.1292
I 0.0501 0.3243 0.9209
I 0.0791 0.6292 0.4034
I 0.0791 0.9499 0.6757
I 0.0966 0.7258 0.6757
I 0.0966 0.8708 0.4209
I 0.1292 0.0501 0.2258
I 0.1292 0.5791 0.9034
I 0.1757 0.2258 0.5966
I 0.1757 0.4499 0.5791
I 0.2258 0.1292 0.0501
I 0.2258 0.5966 0.1757
I 0.2742 0.3243 0.9034
I 0.2742 0.4499 0.3708
I 0.3243 0.9034 0.2742
I 0.3243 0.9209 0.0501
I 0.3708 0.2742 0.4499
I 0.3708 0.5966 0.9209
I 0.4034 0.0791 0.6292
I 0.4034 0.8243 0.7742
I 0.4209 0.0966 0.8708
I 0.4209 0.8243 0.5501
I 0.4499 0.3708 0.2742
I 0.4499 0.5791 0.1757
I 0.5501 0.4209 0.8243
I 0.5501 0.6292 0.7258
I 0.5791 0.1757 0.4499
I 0.5791 0.9034 0.1292
I 0.5966 0.1757 0.2258
I 0.5966 0.9209 0.3708
I 0.6292 0.4034 0.0791
I 0.6292 0.7258 0.5501
I 0.6757 0.0791 0.9499
I 0.6757 0.0966 0.7258
I 0.7258 0.5501 0.6292
I 0.7258 0.6757 0.0966
I 0.7742 0.4034 0.8243
I 0.7742 0.8708 0.9499
I 0.8243 0.5501 0.4209
I 0.8243 0.7742 0.4034
I 0.8708 0.4209 0.0966
I 0.8708 0.9499 0.7742
I 0.9034 0.1292 0.5791
I 0.9034 0.2742 0.3243
I 0.9209 0.0501 0.3243
I 0.9209 0.3708 0.5966
I 0.9499 0.6757 0.0791
I 0.9499 0.7742 0.8708

Properties
- Raw total energy: -2.5473 eV/atom
- Space-group type: Ia-3d, No. 230

=====

First-principles (PBE) data for a relaxed NaSnI5 crystal, as listed in Alexandria via LeMat-Bulk.

Lattice parameters (Å, degrees): 9.3221 9.3221 10.8377 112.71 112.71 95.75
Element x y z (fractional)
Na 0.0000 0.0000 0.0000
Na 0.0000 0.0000 0.5000
Sn 0.3592 0.6408 0.7500
Sn 0.6408 0.3592 0.2500
I 0.0997 0.9003 0.2500
I 0.1843 0.6860 0.9082
I 0.2619 0.3199 0.5373
I 0.3140 0.8157 0.5918
I 0.3199 0.2619 0.0373
I 0.6801 0.7381 0.9627
I 0.6860 0.1843 0.4082
I 0.7381 0.6801 0.4627
I 0.8157 0.3140 0.0918
I 0.9003 0.0997 0.7500

Properties
- Raw total energy: -2.4326 eV/atom
- Space-group type: C2/c, No. 15

=====

First-principles (PBE) data for a relaxed Na2SnI6 crystal, as listed in Alexandria via LeMat-Bulk.

Lattice parameters (Å, degrees): 7.4652 7.4652 13.7155 90.00 90.00 90.00
Element x y z (fractional)
Na 0.0000 0.0000 0.1645
Na 0.0000 0.0000 0.8355
Na 0.5000 0.5000 0.3355
Na 0.5000 0.5000 0.6645
Sn 0.0000 0.0000 0.5000
Sn 0.5000 0.5000 0.0000
I 0.1887 0.1887 0.3453
I 0.1887 0.1887 0.6547
I 0.2211 0.2211 0.0000
I 0.2789 0.7211 0.5000
I 0.3113 0.6887 0.1547
I 0.3113 0.6887 0.8453
I 0.6887 0.3113 0.1547
I 0.6887 0.3113 0.8453
I 0.7211 0.2789 0.5000
I 0.7789 0.7789 0.0000
I 0.8113 0.8113 0.3453
I 0.8113 0.8113 0.6547

Properties
- Energy above the lowest structure with this stoichiometry: 33 meV per atom
- Raw total energy: -2.4365 eV/atom
- Space-group type: P4_2/mnm, No. 136

=====

First-principles (PBE) data for a relaxed Na2SnI crystal, as listed in Alexandria via LeMat-Bulk.

Lattice parameters (Å, degrees): 5.5848 5.5848 5.5848 60.00 60.00 60.00
Element x y z (fractional)
Na 0.2500 0.2500 0.2500
Na 0.7500 0.7500 0.7500
Sn 0.0000 0.0000 0.0000
I 0.5000 0.5000 0.5000

Properties
- Energy above the lowest structure with this stoichiometry: 132 meV per atom
- Raw total energy: -2.2323 eV/atom
- Space-group type: Fm-3m, No. 225

=====

First-principles (PBE) data for a relaxed Na2Sn4I9 crystal, as listed in Alexandria via LeMat-Bulk.

Lattice parameters (Å, degrees): 7.9276 8.3329 22.0776 92.21 90.32 117.97
Element x y z (fractional)
Na 0.0205 0.0428 0.1604
Na 0.0297 0.0483 0.3400
Na 0.9703 0.9517 0.6600
Na 0.9795 0.9572 0.8396
Sn 0.3250 0.5929 0.6525
Sn 0.3352 0.6653 0.9950
Sn 0.3597 0.7166 0.1879
Sn 0.3658 0.6922 0.5093
Sn 0.6342 0.3078 0.4907
Sn 0.6403 0.2834 0.8121
Sn 0.6648 0.3347 0.0050
Sn 0.6750 0.4071 0.3475
I 0.0082 0.6435 0.5813
I 0.0307 0.7419 0.2471
I 0.0432 0.3887 0.0827
I 0.2652 0.2550 0.5805
I 0.3051 0.9536 0.7522
I 0.3243 0.3732 0.2572
I 0.3388 0.3227 0.9200
I 0.3432 0.9850 0.0821
I 0.3681 0.9800 0.4175
I 0.6319 0.0200 0.5825
I 0.6568 0.0150 0.9179
I 0.6612 0.6773 0.0800
I 0.6757 0.6268 0.7428
I 0.6949 0.0464 0.2478
I 0.7348 0.7450 0.4195
I 0.9568 0.6113 0.9173
I 0.9693 0.2581 0.7529
I 0.9918 0.3565 0.4187

Properties
- Raw total energy: -2.7795 eV/atom
- Space-group type: P-1, No. 2

=====

First-principles (PBE) data for a relaxed Na3Sn5I12 crystal, as listed in Alexandria via LeMat-Bulk.

Lattice parameters (Å, degrees): 17.0154 17.0154 17.0154 109.47 109.47 109.47
Element x y z (fractional)
Na 0.1250 0.2500 0.3750
Na 0.1250 0.3750 0.7500
Na 0.2500 0.3750 0.1250
Na 0.2500 0.8750 0.6250
Na 0.3750 0.1250 0.2500
Na 0.3750 0.7500 0.1250
Na 0.6250 0.2500 0.8750
Na 0.6250 0.8750 0.7500
Na 0.7500 0.1250 0.3750
Na 0.7500 0.6250 0.8750
Na 0.8750 0.6250 0.2500
Na 0.8750 0.7500 0.6250
Sn 0.0000 0.0000 0.0000
Sn 0.0000 0.0000 0.5000
Sn 0.0000 0.5000 0.0000
Sn 0.0000 0.5000 0.5000
Sn 0.1250 0.7500 0.8750
Sn 0.1250 0.8750 0.2500
Sn 0.2500 0.1250 0.8750
Sn 0.2500 0.6250 0.3750
Sn 0.3750 0.2500 0.6250
Sn 0.3750 0.6250 0.7500
Sn 0.5000 0.0000 0.0000
Sn 0.5000 0.0000 0.5000
Sn 0.5000 0.5000 0.0000
Sn 0.5000 0.5000 0.5000
Sn 0.6250 0.3750 0.2500
Sn 0.6250 0.7500 0.3750
Sn 0.7500 0.3750 0.6250
Sn 0.7500 0.8750 0.1250
Sn 0.8750 0.1250 0.7500
Sn 0.8750 0.2500 0.1250
I 0.0420 0.2137 0.1275
I 0.0420 0.3282 0.9145
I 0.0855 0.6275 0.4137
I 0.0855 0.9580 0.6718
I 0.0863 0.7137 0.6718
I 0.0863 0.8725 0.4145
I 0.1275 0.0420 0.2137
I 0.1275 0.5855 0.9137
I 0.1718 0.2137 0.5863
I 0.1718 0.4580 0.5855
I 0.2137 0.1275 0.0420
I 0.2137 0.5863 0.1718
I 0.2863 0.3282 0.9137
I 0.2863 0.4580 0.3725
I 0.3282 0.9137 0.2863
I 0.3282 0.9145 0.0420
I 0.3725 0.2863 0.4580
I 0.3725 0.5863 0.9145
I 0.4137 0.0855 0.6275
I 0.4137 0.8282 0.7863
I 0.4145 0.0863 0.8725
I 0.4145 0.8282 0.5420
I 0.4580 0.3725 0.2863
I 0.4580 0.5855 0.1718
I 0.5420 0.4145 0.8282
I 0.5420 0.6275 0.7137
I 0.5855 0.1718 0.4580
I 0.5855 0.9137 0.1275
I 0.5863 0.1718 0.2137
I 0.5863 0.9145 0.3725
I 0.6275 0.4137 0.0855
I 0.6275 0.7137 0.5420
I 0.6718 0.0855 0.9580
I 0.6718 0.0863 0.7137
I 0.7137 0.5420 0.6275
I 0.7137 0.6718 0.0863
I 0.7863 0.4137 0.8282
I 0.7863 0.8725 0.9580
I 0.8282 0.5420 0.4145
I 0.8282 0.7863 0.4137
I 0.8725 0.4145 0.0863
I 0.8725 0.9580 0.7863
I 0.9137 0.1275 0.5855
I 0.9137 0.2863 0.3282
I 0.9145 0.0420 0.3282
I 0.9145 0.3725 0.5863
I 0.9580 0.6718 0.0855
I 0.9580 0.7863 0.8725

Properties
- Raw total energy: -2.6710 eV/atom
- Space-group type: Ia-3d, No. 230

=====

Which of these has the lowest raw total energy?
Na2Sn4I9

=====

Among the records above, which one has the highest raw total energy?
Na2SnI

=====

Number 2 is which compound?
NaSnI5

=====

Look up the raw total energy of the fifth one.
-2.7795 eV/atom